[1]
Sc2GaTc3 | PBE-GGA | relaxed

## Properties
total energy = -8.1874 eV/atom

abc: 5.2038 5.2038 5.2927
angles: 89.96 119.45 120.04
Positions (direct):
Sc (0.7583, 0.3790, 0.1373)
Sc (0.2417, 0.6210, 0.8627)
Ga (0.0000, 0.0000, 0.0000)
Tc (0.5000, 0.5000, 0.5000)
Tc (0.0000, 0.0000, 0.5000)
Tc (0.5000, 0.0000, 0.5000)

---

[2]
Sc6Ga3Tc | PBE-GGA | relaxed

## Properties
total energy = -6.1974 eV/atom

abc: 4.7520 8.3501 10.4610
angles: 108.81 90.00 90.00
Positions (direct):
Sc (0.2500, 0.4683, 0.0926)
Sc (0.7500, 0.5317, 0.9074)
Sc (0.2500, 0.1309, 0.1669)
Sc (0.7500, 0.8691, 0.8331)
Sc (0.2500, 0.6604, 0.6743)
Sc (0.7500, 0.3396, 0.3257)
Sc (0.2500, 0.2312, 0.4923)
Sc (0.7500, 0.7688, 0.5077)
Sc (0.2500, 0.8545, 0.3206)
Sc (0.7500, 0.1455, 0.6794)
Sc (0.2500, 0.1055, 0.8734)
Sc (0.7500, 0.8945, 0.1266)
Ga (0.2500, 0.5359, 0.3874)
Ga (0.7500, 0.4641, 0.6126)
Ga (0.2500, 0.3731, 0.7784)
Ga (0.7500, 0.6269, 0.2216)
Ga (0.2500, 0.7762, 0.9723)
Ga (0.7500, 0.2238, 0.0277)
Tc (0.2500, 0.9540, 0.6043)
Tc (0.7500, 0.0460, 0.3957)

---

Formation energy, respectively: -38; -44 kJ per mole of atoms.
Total moment, respectively: 0.000; 0.000 μB per formula unit.